# 1
Below is a relaxed structure of LiNbTe3O12, with properties calculated at the GGA-PBE level.

Lattice parameters (Å, degrees): 5.150 5.381 7.461 86.86 89.96 89.85
Space group P1 (No. 1)
Inequivalent atoms, fractional coordinates:
Li 0.000 0.000 0.000 x1
Nb 0.994 0.577 0.781 x1
Te 0.493 0.083 0.787 x1
Te 0.502 0.084 0.293 x1
Te 0.999 0.579 0.290 x1
O 0.114 0.584 0.533 x1
O 0.190 0.266 0.854 x1
O 0.191 0.895 0.226 x1
O 0.298 0.790 0.848 x1
O 0.309 0.388 0.224 x1
O 0.370 0.084 0.538 x1
O 0.628 0.087 0.043 x1
O 0.680 0.388 0.740 x1
O 0.692 0.776 0.359 x1
O 0.804 0.901 0.748 x1
O 0.813 0.270 0.356 x1
O 0.894 0.599 0.047 x1

Properties
Magnetization ... 0.00 μB/cell
Formation energy without anion corrections ... -1303 meV/atom
Energy above the most stable polymorph in this dataset ... 6.5 meV per atom
Calculated total energy ... -103.07 eV per cell


# 2
Below is a relaxed structure of Mn2FeHPd, with properties calculated at the GGA-PBE level.

Lattice parameters (Å, degrees): 3.971 3.971 3.732 90.00 90.00 90.00
Space group P4/mmm (No. 123)
Inequivalent atoms, fractional coordinates:
Mn 0.000 0.500 0.000 x2
Fe 0.000 0.000 0.500 x1
H 0.500 0.500 0.000 x1
Pd 0.500 0.500 0.500 x1

Properties
Magnetization ... 10.16 μB/cell
Energy above the most stable polymorph in this dataset ... 45.7 meV per atom
Calculated total energy ... -34.65 eV per cell


# 3
Below is a relaxed structure of TaAl2RhS, with properties calculated at the GGA-PBE level.

Lattice parameters (Å, degrees): 5.106 5.106 4.653 90.00 90.00 90.00
Space group P4/mmm (No. 123)
Inequivalent atoms, fractional coordinates:
Ta 0.000 0.000 0.000 x1
Al 0.000 0.500 0.000 x2
Rh 0.000 0.000 0.500 x1
S 0.500 0.500 0.500 x1

Properties
Magnetization ... 0.00 μB/cell
Formation energy without anion corrections ... 1136 meV/atom
Calculated total energy ... -25.14 eV per cell


# 4
Below is a relaxed structure of CeMgGa2Pd, with properties calculated at the GGA-PBE level.

Lattice parameters (Å, degrees): 4.178 4.277 11.415 90.00 90.00 90.00
Space group Imm2 (No. 44)
Inequivalent atoms, fractional coordinates:
Ce 0.000 0.000 0.000 x2
Mg 0.000 0.500 0.743 x2
Ga 0.000 0.000 0.597 x2
Ga 0.000 0.500 0.246 x2
Pd 0.000 0.000 0.379 x2

Properties
Energy of formation from the pure elements ... -583.6 meV/atom
Magnetization ... 1.19 μB/cell
Calculated total energy ... -43.39 eV per cell


Q: Which value of calculated total energy does entry 2 give?
A: -34.65 eV per cell